Entry 1:
The following is a DFT calculation (GGA-PBE) of a relaxed Ho8TmSc2 crystal.

Output
N(E_F)	16.11	states/eV/cell
M_tot	0.000	μB per formula unit

abc: 9.0929 9.0929 5.7506
angles: 105.92 105.92 121.92
Closest atoms and distances in Å follow each position.
Fractional positions:
Ho  0.0965  0.3408  0.6813  5 Ho 3.17-3.51, 2 Sc 3.37-3.39
Ho  0.2067  0.7933  0.0000  1 Tm 3.29, 4 Sc 3.32-3.67, 6 Ho 3.43-3.59
Ho  0.3408  0.0965  0.6813  5 Ho 3.17-3.51, 2 Sc 3.37-3.39
Ho  0.4347  0.4347  0.2087  4 Ho 2.86-3.20
Ho  0.5653  0.5653  0.7913  4 Ho 2.86-3.20
Ho  0.6592  0.9035  0.3187  5 Ho 3.17-3.51, 2 Sc 3.37-3.39
Ho  0.7933  0.2067  0.0000  1 Tm 3.29, 4 Sc 3.32-3.67, 6 Ho 3.43-3.59
Ho  0.9035  0.6592  0.3187  5 Ho 3.17-3.51, 2 Sc 3.37-3.39
Tm  0.0000  0.0000  0.0000  4 Ho 3.29-3.31
Sc  0.3105  0.6895  0.5000  10 Ho 3.32-3.67
Sc  0.6895  0.3105  0.5000  10 Ho 3.32-3.67

---

Entry 2:
The following is a DFT calculation (GGA-PBE) of a relaxed Ho7Tm12Sc crystal.

Output
N(E_F)	26.98	states/eV/cell
M_tot	0.000	μB per formula unit

abc: 10.8215 10.8215 10.8215
angles: 116.04 116.04 116.04
Closest atoms and distances in Å follow each position.
Fractional positions:
Ho  0.0000  0.0000  0.0000  2 Sc 3.27, 6 Ho 3.38
Ho  0.1434  0.4425  0.3100  1 Sc 3.05, 3 Tm 3.15-3.35, 1 Ho 3.38
Ho  0.3100  0.1434  0.4425  1 Sc 3.05, 3 Tm 3.15-3.35, 1 Ho 3.38
Ho  0.4425  0.3100  0.1434  1 Sc 3.05, 3 Tm 3.15-3.35, 1 Ho 3.38
Ho  0.5575  0.6900  0.8566  1 Sc 3.05, 3 Tm 3.15-3.35, 1 Ho 3.38
Ho  0.6900  0.8566  0.5575  1 Sc 3.05, 3 Tm 3.15-3.35, 1 Ho 3.38
Ho  0.8566  0.5575  0.6900  1 Sc 3.05, 3 Tm 3.15-3.35, 1 Ho 3.38
Tm  0.0103  0.7983  0.5860  4 Tm 3.15-3.44, 3 Ho 3.35-3.48
Tm  0.2017  0.4140  0.9897  4 Tm 3.15-3.44, 3 Ho 3.35-3.48
Tm  0.2362  0.7548  0.2996  2 Ho 3.15-3.31, 5 Tm 3.15-3.44
Tm  0.2452  0.7004  0.7638  2 Ho 3.15-3.31, 5 Tm 3.15-3.44
Tm  0.2996  0.2362  0.7548  2 Ho 3.15-3.31, 5 Tm 3.15-3.44
Tm  0.4140  0.9897  0.2017  4 Tm 3.15-3.44, 3 Ho 3.35-3.48
Tm  0.5860  0.0103  0.7983  4 Tm 3.15-3.44, 3 Ho 3.35-3.48
Tm  0.7004  0.7638  0.2452  2 Ho 3.15-3.31, 5 Tm 3.15-3.44
Tm  0.7548  0.2996  0.2362  2 Ho 3.15-3.31, 5 Tm 3.15-3.44
Tm  0.7638  0.2452  0.7004  2 Ho 3.15-3.31, 5 Tm 3.15-3.44
Tm  0.7983  0.5860  0.0103  4 Tm 3.15-3.44, 3 Ho 3.35-3.48
Tm  0.9897  0.2017  0.4140  4 Tm 3.15-3.44, 3 Ho 3.35-3.48
Sc  0.5000  0.5000  0.5000  8 Ho 3.05-3.27

---

Entry 3:
The following is a DFT calculation (GGA-PBE) of a relaxed Ho9Tm11Sc4 crystal.

Output
N(E_F)	32.39	states/eV/cell
M_tot	0.008	μB per formula unit

abc: 14.7503 14.7503 3.5648
angles: 90.00 90.00 113.00
Closest atoms and distances in Å follow each position.
Fractional positions:
Ho  0.0000  0.0000  0.0000  4 Sc 3.55, 2 Ho 3.56, 8 Tm 3.67-3.75
Ho  0.1288  0.6652  0.0000  1 Sc 3.32, 3 Ho 3.35-3.56, 8 Tm 3.46-3.63
Ho  0.2831  0.4275  0.0000  1 Sc 3.34, 8 Tm 3.45-3.65, 3 Ho 3.55-3.56
Ho  0.3348  0.8712  0.0000  1 Sc 3.32, 3 Ho 3.35-3.56, 8 Tm 3.46-3.63
Ho  0.4275  0.2831  0.0000  1 Sc 3.34, 8 Tm 3.45-3.65, 3 Ho 3.55-3.56
Ho  0.5725  0.7169  0.0000  1 Sc 3.34, 8 Tm 3.45-3.65, 3 Ho 3.55-3.56
Ho  0.6652  0.1288  0.0000  1 Sc 3.32, 3 Ho 3.35-3.56, 8 Tm 3.46-3.63
Ho  0.7169  0.5725  0.0000  1 Sc 3.34, 8 Tm 3.45-3.65, 3 Ho 3.55-3.56
Ho  0.8712  0.3348  0.0000  1 Sc 3.32, 3 Ho 3.35-3.56, 8 Tm 3.46-3.63
Tm  0.0927  0.4531  0.5000  2 Sc 3.26, 6 Ho 3.46-3.53, 3 Tm 3.51-3.56
Tm  0.1302  0.8698  0.5000  4 Sc 3.17, 4 Ho 3.50
Tm  0.2027  0.2027  0.5000  4 Sc 3.16, 4 Ho 3.54
Tm  0.3406  0.6594  0.5000  5 Tm 3.56-3.92, 8 Ho 3.63-3.65
Tm  0.4531  0.0927  0.5000  2 Sc 3.26, 6 Ho 3.46-3.53, 3 Tm 3.51-3.56
Tm  0.5000  0.5000  0.5000  8 Ho 3.45, 2 Tm 3.56
Tm  0.5469  0.9073  0.5000  2 Sc 3.26, 6 Ho 3.46-3.53, 3 Tm 3.51-3.56
Tm  0.6594  0.3406  0.5000  5 Tm 3.56-3.92, 8 Ho 3.63-3.65
Tm  0.7973  0.7973  0.5000  4 Sc 3.16, 4 Ho 3.54
Tm  0.8698  0.1302  0.5000  4 Sc 3.17, 4 Ho 3.50
Tm  0.9073  0.5469  0.5000  2 Sc 3.26, 6 Ho 3.46-3.53, 3 Tm 3.51-3.56
Sc  0.0538  0.2564  0.0000  6 Tm 3.16-3.26, 2 Ho 3.32-3.34
Sc  0.2564  0.0538  0.0000  6 Tm 3.16-3.26, 2 Ho 3.32-3.34
Sc  0.7436  0.9462  0.0000  6 Tm 3.16-3.26, 2 Ho 3.32-3.34
Sc  0.9462  0.7436  0.0000  6 Tm 3.16-3.26, 2 Ho 3.32-3.34

---

Entry 4:
The following is a DFT calculation (GGA-PBE) of a relaxed HoTmSc2 crystal.

Output
N(E_F)	27.52	states/eV/cell
M_tot	0.000	μB per formula unit

abc: 6.5844 8.0472 8.4767
angles: 90.00 90.02 90.00
Closest atoms and distances in Å follow each position.
Fractional positions:
Ho  0.1252  0.0292  0.3201  6 Sc 3.21-3.35, 3 Tm 3.29-3.49, 1 Ho 3.50
Ho  0.1252  0.4708  0.8201  6 Sc 3.21-3.35, 3 Tm 3.29-3.49, 1 Ho 3.50
Ho  0.8748  0.5292  0.1799  6 Sc 3.21-3.35, 3 Tm 3.29-3.49, 1 Ho 3.50
Ho  0.8748  0.9708  0.6799  6 Sc 3.21-3.35, 3 Tm 3.29-3.49, 1 Ho 3.50
Tm  0.3753  0.5257  0.1796  6 Sc 3.20-3.36, 3 Ho 3.29-3.49, 1 Tm 3.49
Tm  0.3753  0.9743  0.6796  6 Sc 3.20-3.36, 3 Ho 3.29-3.49, 1 Tm 3.49
Tm  0.6247  0.0257  0.3204  6 Sc 3.20-3.36, 3 Ho 3.29-3.49, 1 Tm 3.49
Tm  0.6247  0.4743  0.8204  6 Sc 3.20-3.36, 3 Ho 3.29-3.49, 1 Tm 3.49
Sc  0.1265  0.6683  0.4908  4 Sc 3.17-3.31, 4 Ho 3.21-3.35, 2 Tm 3.31-3.36
Sc  0.1265  0.8317  0.9908  4 Sc 3.17-3.31, 4 Ho 3.21-3.35, 2 Tm 3.31-3.36
Sc  0.3764  0.1683  0.0087  4 Sc 3.16-3.31, 4 Tm 3.20-3.36, 2 Ho 3.31-3.35
Sc  0.3764  0.3317  0.5087  4 Sc 3.16-3.31, 4 Tm 3.20-3.36, 2 Ho 3.31-3.35
Sc  0.6236  0.6683  0.4913  4 Sc 3.16-3.31, 4 Tm 3.20-3.36, 2 Ho 3.31-3.35
Sc  0.6236  0.8317  0.9913  4 Sc 3.16-3.31, 4 Tm 3.20-3.36, 2 Ho 3.31-3.35
Sc  0.8735  0.1683  0.0092  4 Sc 3.17-3.31, 4 Ho 3.21-3.35, 2 Tm 3.31-3.36
Sc  0.8735  0.3317  0.5092  4 Sc 3.17-3.31, 4 Ho 3.21-3.35, 2 Tm 3.31-3.36

---

Number 1: formation energy from the elements 175 meV/atom. Number 2: formation energy from the elements 328 meV/atom. Number 3: formation energy from the elements 42 meV/atom. Number 4: formation energy from the elements 183 meV/atom.